The following is a DFT calculation (PBEsol) of an optimized crystal structure of Pb4Br5.

Calculated values
The magnetic moment is 0.000 μB per atom. As for the symmetry: P6_3/mcm. As for the crystal system: hexagonal. As for the uncorrected formation energy: -0.45 eV per atom. As for the energy: -3.271 eV per atom.

a b c (Å): 9.334 9.334 6.708
angles (deg): 90.00 90.00 120.00
Fractional positions:
Pb1 0.000 0.000 0.000
Pb2 0.000 0.000 0.500
Pb3 0.000 0.365 0.250
Pb4 0.000 0.635 0.750
Pb5 0.365 0.000 0.250
Pb6 0.365 0.365 0.750
Pb7 0.635 0.000 0.750
Pb8 0.635 0.635 0.250
Br1 0.000 0.315 0.750
Br2 0.000 0.685 0.250
Br3 0.315 0.000 0.750
Br4 0.315 0.315 0.250
Br5 0.333 0.667 0.000
Br6 0.333 0.667 0.500
Br7 0.667 0.333 0.000
Br8 0.667 0.333 0.500
Br9 0.685 0.000 0.250
Br10 0.685 0.685 0.750